Record 1
# PBE PrErBeGa, relaxed
# - Total magnetic moment: 0.00 μB per cell
# - E_form: -0.1795 eV per atom
# - E: -67.3 eV for the cell shown
data_PrErBeGa
_chemical_formula_sum 'Pr4 Er4 Be4 Ga4'
_cell_length_a 7.128
_cell_length_b 7.128
_cell_length_c 7.128
_cell_angle_alpha 90.00
_cell_angle_beta 90.00
_cell_angle_gamma 90.00
_symmetry_space_group_name_H-M 'F -4 3 m'
_symmetry_Int_Tables_number 216
_symmetry_space_group_name_Hall 'F -4 2 3'
loop_
_atom_site_label
_atom_site_type_symbol
_atom_site_fract_x
_atom_site_fract_y
_atom_site_fract_z
_atom_site_occupancy
Pr1 Pr 0.000 0.000 0.000 1
Er1 Er 0.000 0.000 0.500 1
Be1 Be 0.250 0.250 0.750 1
Ga1 Ga 0.250 0.250 0.250 1

Record 2
# PBE SmAlSi2, relaxed
# - Total magnetic moment: 0.00 μB per cell
# - Energy relative to the elements, uncorrected: -396 meV/atom
# - E: -167.1 eV for the cell shown
data_SmAlSi2
_chemical_formula_sum 'Sm8 Al8 Si16'
_cell_length_a 13.186
_cell_length_b 4.181
_cell_length_c 11.265
_cell_angle_alpha 90.00
_cell_angle_beta 90.00
_cell_angle_gamma 90.00
_symmetry_space_group_name_H-M 'P n m a'
_symmetry_Int_Tables_number 62
_symmetry_space_group_name_Hall '-P 2ac 2n'
loop_
_atom_site_label
_atom_site_type_symbol
_atom_site_fract_x
_atom_site_fract_y
_atom_site_fract_z
_atom_site_occupancy
Sm1 Sm 0.052 0.250 0.232 1
Sm2 Sm 0.201 0.750 0.967 1
Al1 Al 0.064 0.250 0.556 1
Al2 Al 0.190 0.750 0.659 1
Si1 Si 0.026 0.250 0.962 1
Si2 Si 0.110 0.250 0.780 1
Si3 Si 0.129 0.750 0.434 1
Si4 Si 0.214 0.750 0.238 1

Record 3
# PBE Ba4PRu, relaxed
# - Total magnetic moment: 3.64 μB per cell
# - E_form: 0.9851 eV per atom
# - E: -65.9 eV for the cell shown
data_Ba4PRu
_chemical_formula_sum 'Ba16 P4 Ru4'
_cell_length_a 9.632
_cell_length_b 9.632
_cell_length_c 9.632
_cell_angle_alpha 90.00
_cell_angle_beta 90.00
_cell_angle_gamma 90.00
_symmetry_space_group_name_H-M 'F -4 3 m'
_symmetry_Int_Tables_number 216
_symmetry_space_group_name_Hall 'F -4 2 3'
loop_
_atom_site_label
_atom_site_type_symbol
_atom_site_fract_x
_atom_site_fract_y
_atom_site_fract_z
_atom_site_occupancy
Ba1 Ba 0.125 0.125 0.125 1
P1 P 0.250 0.250 0.750 1
Ru1 Ru 0.000 0.000 0.500 1

Record 4
# PBE HfBe2Pd2, relaxed
# - Total magnetic moment: 0.00 μB per cell
# - E_form: -0.3463 eV per atom
# - ΔE to the lowest computed polymorph: 116 meV/atom
# - E: -59.0 eV for the cell shown
data_HfBe2Pd2
_chemical_formula_sum 'Hf2 Be4 Pd4'
_cell_length_a 7.068
_cell_length_b 7.068
_cell_length_c 2.777
_cell_angle_alpha 90.00
_cell_angle_beta 90.00
_cell_angle_gamma 90.00
_symmetry_space_group_name_H-M 'P 4/m b m'
_symmetry_Int_Tables_number 127
_symmetry_space_group_name_Hall '-P 4 2ab'
loop_
_atom_site_label
_atom_site_type_symbol
_atom_site_fract_x
_atom_site_fract_y
_atom_site_fract_z
_atom_site_occupancy
Hf1 Hf 0.000 0.000 0.000 1
Be1 Be 0.154 0.346 0.500 1
Pd1 Pd 0.140 0.640 0.000 1

Record 5
# PBE As2OsPt, relaxed
# - Total magnetic moment: 0.00 μB per cell
# - E_form: 0.4444 eV per atom
# - ΔE to the lowest computed polymorph: 348 meV/atom
# - E: -49.6 eV for the cell shown
data_As2OsPt
_chemical_formula_sum 'As4 Os2 Pt2'
_cell_length_a 2.880
_cell_length_b 4.945
_cell_length_c 9.232
_cell_angle_alpha 90.00
_cell_angle_beta 90.00
_cell_angle_gamma 90.00
_symmetry_space_group_name_H-M 'C m m m'
_symmetry_Int_Tables_number 65
_symmetry_space_group_name_Hall '-C 2 2'
loop_
_atom_site_label
_atom_site_type_symbol
_atom_site_fract_x
_atom_site_fract_y
_atom_site_fract_z
_atom_site_occupancy
As1 As 0.000 0.000 0.234 1
Os1 Os 0.000 0.500 0.000 1
Pt1 Pt 0.000 0.500 0.500 1

Record 6
# PBE Tl2InSe, relaxed
# - Total magnetic moment: 0.00 μB per cell
# - Energy relative to the elements, uncorrected: -7 meV/atom
# - ΔE to the lowest computed polymorph: 222 meV/atom
# - E: -43.9 eV for the cell shown
data_Tl2InSe
_chemical_formula_sum 'Tl8 In4 Se4'
_cell_length_a 7.031
_cell_length_b 7.031
_cell_length_c 12.631
_cell_angle_alpha 90.00
_cell_angle_beta 90.00
_cell_angle_gamma 90.00
_symmetry_space_group_name_H-M 'I -4 2 d'
_symmetry_Int_Tables_number 122
_symmetry_space_group_name_Hall 'I -4 2bw'
loop_
_atom_site_label
_atom_site_type_symbol
_atom_site_fract_x
_atom_site_fract_y
_atom_site_fract_z
_atom_site_occupancy
Tl1 Tl 0.235 0.250 0.125 1
In1 In 0.000 0.000 0.500 1
Se1 Se 0.000 0.000 0.000 1

Record 7
# PBE SrTmInBr6, relaxed
# - Total magnetic moment: 0.00 μB per cell
# - Energy relative to the elements, uncorrected: -1690 meV/atom
# - E: -68.3 eV for the cell shown
data_SrTmInBr6
_chemical_formula_sum 'Sr2 Tm2 In2 Br12'
_cell_length_a 7.6402
_cell_length_b 7.6402
_cell_length_c 14.0460
_cell_angle_alpha 90.00
_cell_angle_beta 90.00
_cell_angle_gamma 120.00
_symmetry_space_group_name_H-M 'P -3 1 c'
_symmetry_Int_Tables_number 163
_symmetry_space_group_name_Hall '-P 3 2c'
loop_
_atom_site_label
_atom_site_type_symbol
_atom_site_fract_x
_atom_site_fract_y
_atom_site_fract_z
_atom_site_occupancy
Sr1 Sr 0.3333 0.6667 0.2500 1
Tm1 Tm 0.3333 0.6667 0.7500 1
In1 In 0.0000 0.0000 0.0000 1
Br1 Br 0.0286 0.3787 0.6350 1

Record 8
# PBE K3Nd3ZrTe8, relaxed
# - Total magnetic moment: 0.00 μB per cell
# - Energy relative to the elements, uncorrected: -1285 meV/atom
# - E: -211.6 eV for the cell shown
data_K3Nd3ZrTe8
_chemical_formula_sum 'K9 Nd9 Zr3 Te24'
_cell_length_a 8.9954
_cell_length_b 8.9954
_cell_length_c 25.3550
_cell_angle_alpha 90.00
_cell_angle_beta 90.00
_cell_angle_gamma 120.00
_symmetry_space_group_name_H-M 'R -3 m'
_symmetry_Int_Tables_number 166
_symmetry_space_group_name_Hall '-R 3 2"'
loop_
_atom_site_label
_atom_site_type_symbol
_atom_site_fract_x
_atom_site_fract_y
_atom_site_fract_z
_atom_site_occupancy
K1 K 0.0000 0.5000 0.0000 1
Nd1 Nd 0.0000 0.5000 0.5000 1
Zr1 Zr 0.0000 0.0000 0.5000 1
Te1 Te 0.0000 0.0000 0.2387 1
Te2 Te 0.0210 0.5105 0.2344 1